The following is a DFT calculation (PBE-GGA) of PaZnCu after structural relaxation.

Cell and atoms, written as extended XYZ:
```
12
Lattice="4.082 0.000 0.000 0.000 4.083 0.000 0.000 0.000 14.032" Properties=species:S:1:pos:R:3 pbc="T T T"
Pa 1.021 1.021 0.003
Pa 3.062 3.062 7.013
Pa 1.021 1.021 7.019
Pa 3.062 3.062 14.029
Zn 1.021 3.062 2.410
Zn 3.062 1.021 4.606
Zn 1.021 3.062 9.425
Zn 3.062 1.021 11.622
Cu 1.021 3.062 11.863
Cu 3.062 1.021 9.185
Cu 1.021 3.062 4.847
Cu 3.062 1.021 2.169
```

Properties
Spin magnetization (μB per cell): 0.84
D(E_F) (states/eV per cell): 13.69
Volume (Å³/atom): 19.490
Symmetry: No. 129
Energy of formation from the pure elements (eV per formula unit): 0.84

The following is a DFT calculation (PBE-GGA) of PaZn9Cu2 after structural relaxation.

Cell and atoms, written as extended XYZ:
```
12
Lattice="2.997 0.000 0.000 0.000 8.512 0.000 0.000 -4.256 7.372" Properties=species:S:1:pos:R:3 pbc="T T T"
Zn 0.000 4.256 0.000
Zn 0.000 -2.128 3.686
Zn 1.498 -1.865 5.991
Zn 1.498 6.121 1.380
Zn 1.498 2.391 1.380
Zn 1.498 0.000 2.761
Zn 0.000 2.128 3.686
Zn 1.498 1.865 5.991
Zn 1.498 4.256 4.611
Cu 0.000 0.000 4.914
Cu 0.000 4.256 2.457
Pa 0.000 0.000 0.000
```

Properties
Spin magnetization (μB per cell): 0.21
D(E_F) (states/eV per cell): 5.21
Volume (Å³/atom): 15.670
Distance to the lowest polymorph of the same formula (meV/atom): 65
Symmetry: No. 191
Energy of formation from the pure elements (eV per formula unit): -0.72

The following is a DFT calculation (PBE-GGA) of PaZn2Cu after structural relaxation.

Cell and atoms, written as extended XYZ:
```
8
Lattice="-1.123 -1.792 2.375 4.063 -0.159 1.800 -1.438 9.083 4.045" Properties=species:S:1:pos:R:3 pbc="T T T"
Zn 0.616 6.642 7.432
Zn 0.886 0.490 0.789
Zn -0.589 3.338 4.369
Zn 2.091 3.795 3.851
Cu 1.133 4.524 6.078
Cu 0.369 2.609 2.143
Pa 2.076 0.661 3.609
Pa -0.574 6.471 4.611
```

Properties
Spin magnetization (μB per cell): 0.00
D(E_F) (states/eV per cell): 8.73
Volume (Å³/atom): 17.535
Distance to the lowest polymorph of the same formula (meV/atom): 3
Symmetry: No. 63
Energy of formation from the pure elements (eV per formula unit): -0.25

The following is a DFT calculation (PBE-GGA) of PaZnCu after structural relaxation.

Cell and atoms, written as extended XYZ:
```
3
Lattice="-2.229 -1.394 -1.735 0.024 -3.517 2.794 -2.761 3.459 0.767" Properties=species:S:1:pos:R:3 pbc="T T T"
Zn -1.276 -1.424 1.829
Pa -3.319 0.204 0.286
Cu -0.371 -0.232 -0.289
```

Properties
Spin magnetization (μB per cell): 0.00
D(E_F) (states/eV per cell): 4.33
Volume (Å³/atom): 18.348
Symmetry: No. 187
Energy of formation from the pure elements (eV per formula unit): -0.19

The following is a DFT calculation (PBE-GGA) of Pa2ZnCu after structural relaxation.

Cell and atoms, written as extended XYZ:
```
4
Lattice="4.326 0.000 0.000 0.000 4.289 0.000 0.000 0.000 4.289" Properties=species:S:1:pos:R:3 pbc="T T T"
Zn 2.163 0.000 0.000
Pa 0.000 2.145 0.000
Pa 0.000 0.000 2.145
Cu 2.163 2.145 2.145
```

Properties
Spin magnetization (μB per cell): 0.00
D(E_F) (states/eV per cell): 5.07
Volume (Å³/atom): 19.897
Distance to the lowest polymorph of the same formula (meV/atom): 7
Symmetry: No. 123
Energy of formation from the pure elements (eV per formula unit): 0.17

The following is a DFT calculation (PBE-GGA) of PaZn2Cu after structural relaxation.

Cell and atoms, written as extended XYZ:
```
4
Lattice="-3.273 2.989 1.476 -1.548 -0.218 4.402 1.113 3.370 3.038" Properties=species:S:1:pos:R:3 pbc="T T T"
Cu -1.854 3.071 4.458
Zn -2.781 4.606 6.687
Zn -0.927 1.535 2.229
Pa 0.000 0.000 0.000
```

Properties
Spin magnetization (μB per cell): 0.00
D(E_F) (states/eV per cell): 4.05
Volume (Å³/atom): 18.025
Distance to the lowest polymorph of the same formula (meV/atom): 164
Symmetry: No. 225
Energy of formation from the pure elements (eV per formula unit): 0.39

The following is a DFT calculation (PBE-GGA) of PaZn9Cu2 after structural relaxation.

Cell and atoms, written as extended XYZ:
```
24
Lattice="6.127 0.000 2.821 3.063 7.376 1.410 -0.021 0.000 8.110" Properties=species:S:1:pos:R:3 pbc="T T T"
Zn 2.850 6.765 6.795
Zn 5.924 4.298 4.150
Zn 2.174 0.610 6.484
Zn 4.678 2.395 2.826
Zn 3.255 6.765 4.136
Zn 3.931 0.610 4.447
Zn 4.002 4.981 2.514
Zn 2.185 3.078 2.429
Zn 1.438 1.293 4.050
Zn 1.428 2.395 8.105
Zn 6.116 3.688 6.876
Zn 7.055 6.083 7.980
Zn 4.667 1.293 6.881
Zn 6.308 4.298 9.601
Zn 5.178 6.083 5.772
Zn 3.921 3.078 8.502
Zn 0.000 0.000 0.000
Zn 2.104 4.981 8.417
Cu 6.121 1.844 4.848
Cu 6.111 1.844 8.903
Cu 7.653 5.532 5.553
Cu 4.579 5.532 8.198
Pa 3.063 0.000 1.410
Pa 3.053 3.688 5.465
```

Properties
Spin magnetization (μB per cell): 1.67
D(E_F) (states/eV per cell): 14.13
Volume (Å³/atom): 15.289
Distance to the lowest polymorph of the same formula (meV/atom): 0
Symmetry: No. 141
Energy of formation from the pure elements (eV per formula unit): -1.51

The following is a DFT calculation (PBE-GGA) of Pa2ZnCu after structural relaxation.

Cell and atoms, written as extended XYZ:
```
4
Lattice="-2.071 2.224 -0.218 -2.534 -0.433 -1.635 -6.616 -3.264 8.278" Properties=species:S:1:pos:R:3 pbc="T T T"
Pa -5.190 -2.180 5.782
Pa -6.031 0.708 0.643
Zn 0.000 0.000 0.000
Cu -5.611 -0.736 3.212
```

Properties
Spin magnetization (μB per cell): 0.00
D(E_F) (states/eV per cell): 6.34
Volume (Å³/atom): 22.004
Distance to the lowest polymorph of the same formula (meV/atom): 337
Symmetry: No. 166
Energy of formation from the pure elements (eV per formula unit): 1.50

The following is a DFT calculation (PBE-GGA) of PaZn2Cu after structural relaxation.

Cell and atoms, written as extended XYZ:
```
4
Lattice="3.067 0.000 0.000 0.000 3.067 0.000 0.000 0.000 7.188" Properties=species:S:1:pos:R:3 pbc="T T T"
Cu 1.534 1.534 0.000
Zn 0.000 0.000 1.396
Zn 0.000 0.000 5.792
Pa 1.534 1.534 3.594
```

Properties
Spin magnetization (μB per cell): 0.39
D(E_F) (states/eV per cell): 3.08
Volume (Å³/atom): 16.907
Distance to the lowest polymorph of the same formula (meV/atom): 22
Symmetry: No. 123
Energy of formation from the pure elements (eV per formula unit): -0.18

The following is a DFT calculation (PBE-GGA) of Pa2Zn3Cu after structural relaxation.

Cell and atoms, written as extended XYZ:
```
12
Lattice="5.583 0.000 0.000 -2.791 4.835 0.000 0.000 0.000 8.158" Properties=species:S:1:pos:R:3 pbc="T T T"
Cu 0.000 0.000 4.079
Cu 0.000 0.000 0.000
Pa 0.000 3.223 4.757
Pa 0.000 3.223 7.480
Pa 2.791 1.612 0.678
Pa 2.791 1.612 3.401
Zn 4.189 0.804 6.118
Zn -1.398 4.030 2.039
Zn 0.000 1.609 2.039
Zn 2.791 3.226 6.118
Zn 1.393 0.804 6.118
Zn 1.398 4.030 2.039
```

Properties
Spin magnetization (μB per cell): 0.00
D(E_F) (states/eV per cell): 13.53
Volume (Å³/atom): 18.347
Symmetry: No. 194
Energy of formation from the pure elements (eV per formula unit): -0.41

The following is a DFT calculation (PBE-GGA) of PaZn4Cu after structural relaxation.

Cell and atoms, written as extended XYZ:
```
12
Lattice="-1.286 3.796 -0.830 0.809 -1.214 -6.808 -6.759 -2.372 -0.380" Properties=species:S:1:pos:R:3 pbc="T T T"
Cu -1.062 -1.535 -5.379
Cu -4.888 -2.051 -1.809
Zn -3.072 0.011 -5.282
Zn -3.379 -1.186 -0.190
Zn -2.287 1.236 -0.896
Zn -4.163 0.198 -2.736
Zn 0.000 0.000 0.000
Zn -4.949 -1.026 -7.122
Zn -0.476 0.923 -5.136
Zn -6.759 -0.713 -2.882
Pa -4.568 -2.531 -4.503
Pa -1.382 -1.055 -2.685
```

Properties
Spin magnetization (μB per cell): 0.76
D(E_F) (states/eV per cell): 8.35
Volume (Å³/atom): 17.034
Symmetry: No. 51
Energy of formation from the pure elements (eV per formula unit): -0.31

The following is a DFT calculation (PBE-GGA) of Pa2Zn5Cu5 after structural relaxation.

Cell and atoms, written as extended XYZ:
```
12
Lattice="4.209 0.000 0.000 0.000 5.128 0.000 0.000 0.000 8.828" Properties=species:S:1:pos:R:3 pbc="T T T"
Zn 2.104 2.564 4.414
Zn 2.104 1.279 2.172
Zn 2.104 3.849 6.656
Zn 2.104 3.849 2.172
Zn 2.104 1.279 6.656
Cu 0.000 2.564 2.945
Cu 2.104 0.000 0.000
Cu 0.000 0.000 1.437
Cu 0.000 2.564 5.883
Cu 0.000 0.000 7.391
Pa 0.000 2.564 0.000
Pa 0.000 0.000 4.414
```

Properties
Spin magnetization (μB per cell): 0.00
D(E_F) (states/eV per cell): 10.70
Volume (Å³/atom): 15.877
Symmetry: No. 47
Energy of formation from the pure elements (eV per formula unit): -1.37

The following is a DFT calculation (PBE-GGA) of PaZnCu3 after structural relaxation.

Cell and atoms, written as extended XYZ:
```
10
Lattice="4.828 0.000 0.000 0.000 5.120 -2.142 0.000 -0.245 6.603" Properties=species:S:1:pos:R:3 pbc="T T T"
Cu 3.621 2.992 3.282
Cu 3.621 0.237 4.435
Cu 1.207 3.994 2.357
Cu 1.207 4.637 0.026
Cu 1.207 1.882 1.178
Cu 3.621 0.880 2.104
Zn 2.414 0.000 0.000
Zn 0.000 0.000 0.000
Pa 1.207 1.805 4.314
Pa 3.621 3.069 0.146
```

Properties
Spin magnetization (μB per cell): 1.30
D(E_F) (states/eV per cell): 10.72
Volume (Å³/atom): 16.065
Distance to the lowest polymorph of the same formula (meV/atom): 62
Symmetry: No. 63
Energy of formation from the pure elements (eV per formula unit): 0.15

The following is a DFT calculation (PBE-GGA) of Pa3Zn4Cu2 after structural relaxation.

Cell and atoms, written as extended XYZ:
```
9
Lattice="4.521 0.000 0.000 -2.261 4.649 -1.966 0.000 -0.952 8.393" Properties=species:S:1:pos:R:3 pbc="T T T"
Pa 2.261 0.959 4.875
Pa 0.000 2.739 1.551
Pa 0.000 0.000 0.000
Cu 2.261 0.734 1.880
Cu 0.000 2.963 4.546
Zn 2.261 2.058 -0.371
Zn 2.261 3.646 3.434
Zn 0.000 1.640 6.798
Zn 0.000 0.051 2.993
```

Properties
Spin magnetization (μB per cell): 0.00
D(E_F) (states/eV per cell): 13.49
Volume (Å³/atom): 18.662
Symmetry: No. 12
Energy of formation from the pure elements (eV per formula unit): -0.60

The following is a DFT calculation (PBE-GGA) of Pa3Zn7Cu2 after structural relaxation.

Cell and atoms, written as extended XYZ:
```
12
Lattice="5.249 0.000 0.000 2.625 4.546 0.000 2.625 1.515 8.753" Properties=species:S:1:pos:R:3 pbc="T T T"
Pa 0.000 0.000 0.000
Pa 7.874 4.546 3.971
Pa 2.625 1.515 4.782
Zn 5.249 4.565 2.065
Zn 6.578 3.798 6.688
Zn 5.249 1.497 6.688
Zn 3.921 3.798 6.688
Zn 5.249 3.031 4.376
Zn 6.578 2.264 2.065
Zn 3.921 2.264 2.065
Cu 5.249 3.031 0.048
Cu 5.249 3.031 8.705
```

Properties
Spin magnetization (μB per cell): 0.23
D(E_F) (states/eV per cell): 13.50
Volume (Å³/atom): 17.407
Symmetry: No. 166
Energy of formation from the pure elements (eV per formula unit): -0.98

The following is a DFT calculation (PBE-GGA) of PaZn2Cu3 after structural relaxation.

Cell and atoms, written as extended XYZ:
```
12
Lattice="-1.398 -4.000 -0.477 1.141 1.414 3.858 -11.439 3.759 2.004" Properties=species:S:1:pos:R:3 pbc="T T T"
Pa -8.580 2.819 1.503
Pa -2.860 0.940 0.501
Zn -6.308 1.778 3.570
Zn -1.434 -1.906 1.122
Zn -10.263 3.078 4.263
Zn -5.389 -0.606 1.815
Cu -10.469 1.063 2.706
Cu 0.000 0.000 0.000
Cu -3.903 0.988 3.148
Cu -7.794 0.184 2.237
Cu -1.228 0.109 2.680
Cu -5.720 1.879 1.002
```

Properties
Spin magnetization (μB per cell): 0.00
D(E_F) (states/eV per cell): 6.08
Volume (Å³/atom): 16.019
Distance to the lowest polymorph of the same formula (meV/atom): 0
Symmetry: No. 194
Energy of formation from the pure elements (eV per formula unit): -0.17

The following is a DFT calculation (PBE-GGA) of PaZn10Cu2 after structural relaxation.

Cell and atoms, written as extended XYZ:
```
13
Lattice="4.721 0.000 1.925 2.360 6.250 0.962 -0.008 0.000 6.771" Properties=species:S:1:pos:R:3 pbc="T T T"
Cu 3.541 3.125 1.444
Cu 1.180 3.125 0.481
Pa 0.000 0.000 0.000
Zn 1.856 1.386 2.201
Zn 2.858 1.386 6.495
Zn 3.907 2.235 3.922
Zn 5.218 4.864 7.457
Zn 5.528 2.235 6.698
Zn 4.216 4.864 3.163
Zn 1.546 4.015 2.960
Zn 3.167 4.015 5.736
Zn 2.357 0.000 4.348
Zn -0.004 0.000 3.385
```

Properties
Spin magnetization (μB per cell): 0.17
D(E_F) (states/eV per cell): 7.35
Volume (Å³/atom): 15.375
Symmetry: No. 69
Energy of formation from the pure elements (eV per formula unit): -1.25

The following is a DFT calculation (PBE-GGA) of PaZnCu after structural relaxation.

Cell and atoms, written as extended XYZ:
```
12
Lattice="-3.906 -1.902 0.686 2.504 -3.515 4.515 -1.751 5.491 5.247" Properties=species:S:1:pos:R:3 pbc="T T T"
Pa -1.628 -1.795 6.904
Pa -3.036 1.698 8.568
Pa -0.118 -1.624 1.880
Pa -1.526 1.869 3.543
Zn 0.961 -2.653 5.167
Zn -0.660 1.138 6.447
Zn -4.115 2.728 5.281
Zn -2.494 -1.063 4.000
Cu -3.011 0.645 5.793
Cu -0.172 0.987 8.804
Cu -2.982 -0.912 1.643
Cu -0.143 -0.570 4.655
```

Properties
Spin magnetization (μB per cell): 0.00
D(E_F) (states/eV per cell): 11.68
Volume (Å³/atom): 17.842
Symmetry: No. 62
Energy of formation from the pure elements (eV per formula unit): -0.06

The following is a DFT calculation (PBE-GGA) of Pa3Zn5Cu2 after structural relaxation.

Cell and atoms, written as extended XYZ:
```
20
Lattice="-1.717 -0.274 5.952 -8.321 -0.999 0.783 -1.495 -7.918 2.433" Properties=species:S:1:pos:R:3 pbc="T T T"
Pa -4.963 -7.530 4.681
Pa -1.288 -0.206 4.464
Pa -0.429 -0.069 1.488
Pa -9.467 -3.972 6.775
Pa -6.571 -1.661 4.487
Pa -2.067 -5.219 2.393
Cu -3.893 -0.771 5.301
Cu -10.254 -6.779 6.419
Cu -1.280 -2.413 2.749
Cu -7.640 -8.421 3.867
Zn -5.007 -2.504 1.670
Zn -6.196 -4.664 6.072
Zn -8.042 -6.634 5.449
Zn -3.492 -2.557 3.720
Zn -3.885 -4.648 5.124
Zn -7.648 -4.543 4.044
Zn -6.526 -6.688 7.498
Zn -4.350 -2.695 6.695
Zn -7.184 -6.497 2.473
Zn -5.338 -4.527 3.096
```

Properties
Spin magnetization (μB per cell): 0.00
D(E_F) (states/eV per cell): 24.91
Volume (Å³/atom): 18.577
Symmetry: No. 72
Energy of formation from the pure elements (eV per formula unit): 0.63

The following is a DFT calculation (PBE-GGA) of PaZnCu after structural relaxation.

Cell and atoms, written as extended XYZ:
```
3
Lattice="-1.960 1.453 1.849 0.730 -1.912 2.277 4.732 3.726 -0.448" Properties=species:S:1:pos:R:3 pbc="T T T"
Cu 2.156 1.831 0.846
Zn 0.566 0.774 2.526
Pa 3.048 2.882 3.500
```

Properties
Spin magnetization (μB per cell): 0.06
D(E_F) (states/eV per cell): 2.94
Volume (Å³/atom): 17.612
Symmetry: No. 107
Energy of formation from the pure elements (eV per formula unit): -0.04